(1)
CaPrEuTm | PBE | optimized geometry

Cell lengths 5.9111, 5.9111, 5.9111 Å; angles 60.00, 60.00, 60.00 degrees
Last column: magnetic moment on the atom in μB.
Atoms (fractional coordinates):
Tm 0.7500 0.7500 0.7500  0.04
Ca 0.2500 0.2500 0.2500  0.01
Eu 0.5000 0.5000 0.5000  6.86
Pr 0.0000 0.0000 0.0000  -0.01

space group	F-43m (216)
density of states at the Fermi level	1.404	states/eV per atom
crystal system	cubic
raw total energy	-5.254	eV/atom
magnetization	7.23	μB per cell

***

(2)
CsSi2Hg2 | PBE | optimized geometry

Cell lengths 4.8088, 4.8088, 6.9022 Å; angles 69.61, 69.61, 90.00 degrees
Atoms (fractional coordinates):
Cs 0.0000 0.0000 0.0000
Hg 0.3619 0.3619 0.2762
Hg 0.6381 0.6381 0.7238
Si 0.7500 0.2500 0.5000
Si 0.2500 0.7500 0.5000

formation energy from raw total energies	0.280	eV/atom
space group	I4/mmm (139)
density of states at the Fermi level	0.381	states/eV per atom
crystal system	tetragonal
magnetization	0.00	μB per cell
energy above the lowest structure with this stoichiometry	112.5	meV per atom

***

(3)
K2PH4S3O2 | PBE | optimized geometry

Cell lengths 7.9983, 9.2475, 11.4837 Å; angles 90.00, 90.00, 93.15 degrees
Atoms (fractional coordinates):
H 0.6474 0.4232 0.0549
H 0.3526 0.5768 0.9451
H 0.1652 0.0841 0.4940
H 0.3348 0.4159 0.9940
H 0.6140 0.2879 0.4993
H 0.4203 0.2931 0.4799
H 0.1140 0.7879 0.0007
H 0.8526 0.0768 0.5549
H 0.3860 0.7121 0.5007
H 0.1474 0.9232 0.4451
H 0.0797 0.2069 0.9799
H 0.5797 0.7069 0.5201
H 0.6652 0.5841 0.0060
H 0.8860 0.2121 0.9993
H 0.9203 0.7931 0.0201
H 0.8348 0.9159 0.5060
K 0.4559 0.9738 0.6513
K 0.4048 0.3936 0.7227
K 0.9559 0.4738 0.8487
K 0.5952 0.6064 0.2773
K 0.0441 0.5262 0.1513
K 0.5441 0.0262 0.3487
K 0.9048 0.8936 0.7773
K 0.0952 0.1064 0.2227
P 0.4744 0.1125 0.9638
P 0.5256 0.8875 0.0362
P 0.9744 0.6125 0.5362
P 0.0256 0.3875 0.4638
O 0.4945 0.7555 0.4728
O 0.9945 0.2555 0.0272
O 0.5055 0.2445 0.5272
O 0.7773 0.9879 0.5534
O 0.2773 0.4879 0.9466
O 0.2227 0.0121 0.4466
O 0.7227 0.5121 0.0534
O 0.0055 0.7445 0.9728
S 0.3302 0.8289 0.1427
S 0.7564 0.5926 0.6281
S 0.6698 0.1711 0.8573
S 0.0451 0.2566 0.6060
S 0.9549 0.7434 0.3940
S 0.4549 0.2434 0.1060
S 0.8302 0.3289 0.3573
S 0.1698 0.6711 0.6427
S 0.2436 0.4074 0.3719
S 0.5451 0.7566 0.8940
S 0.2564 0.0926 0.8719
S 0.7436 0.9074 0.1281

space group	P2_1/c (14)
density of states at the Fermi level	0.000	states/eV per atom
crystal system	monoclinic
raw total energy	-4.609	eV/atom
magnetization	0.00	μB per cell

***

(4)
Ba5Tl2Bi5 | PBE | optimized geometry

Cell lengths 5.2488, 9.5887, 10.4952 Å; angles 91.07, 75.52, 74.12 degrees
Atoms (fractional coordinates):
Tl 0.4316 0.4358 0.7010
Tl 0.5684 0.5642 0.2990
Ba 0.6311 0.0570 0.6808
Ba 0.3096 0.2958 0.0850
Ba 0.0000 0.5000 0.5000
Ba 0.6904 0.7042 0.9150
Ba 0.3689 0.9430 0.3192
Bi 0.0728 0.6917 0.1627
Bi 0.0000 0.0000 0.0000
Bi 0.2779 0.7832 0.6611
Bi 0.7221 0.2168 0.3389
Bi 0.9272 0.3083 0.8373

space group	C2/m (12)
density of states at the Fermi level	0.317	states/eV per atom
crystal system	monoclinic
raw total energy	-3.496	eV/atom
magnetization	0.00	μB per cell

***

(5)
Sr4Tl2N | PBE | optimized geometry

Cell lengths 5.3083, 5.3083, 9.2379 Å; angles 73.30, 73.30, 90.00 degrees
Last column: magnetic moment on the atom in μB.
Atoms (fractional coordinates):
Sr 0.1568 0.1568 0.6864  0.03
Sr 0.5000 0.0000 0.0000  0.03
Sr 0.8432 0.8432 0.3136  0.03
Sr 0.0000 0.5000 0.0000  0.03
Tl 0.3613 0.3613 0.2773  0.09
Tl 0.6387 0.6387 0.7227  0.09
N 0.0000 0.0000 0.0000  0.01

formation energy from raw total energies	-0.344	eV/atom
space group	I4/mmm (139)
density of states at the Fermi level	1.178	states/eV per atom
crystal system	tetragonal
magnetization	1.12	μB per cell

***

(6)
ReAgOs | PBE | optimized geometry

Cell lengths 2.7734, 2.7734, 7.0829 Å; angles 90.00, 90.00, 120.00 degrees
Atoms (fractional coordinates):
Ag 0.0000 0.0000 0.0006
Os 0.6667 0.3333 0.3549
Re 0.3333 0.6667 0.6445

space group	P3m1 (156)
density of states at the Fermi level	0.438	states/eV per atom
crystal system	trigonal
magnetization	0.00	μB per cell
energy above the lowest structure with this stoichiometry	0.0	meV per atom

***

(7)
CrFePt2 | PBE | optimized geometry

Cell lengths 4.3640, 4.3640, 4.3640 Å; angles 60.00, 60.00, 60.00 degrees
Last column: magnetic moment on the atom in μB.
Atoms (fractional coordinates):
Cr 0.5000 0.5000 0.5000  -2.98
Fe 0.2500 0.2500 0.2500  2.86
Pt 0.0000 0.0000 0.0000  0.19
Pt 0.7500 0.7500 0.7500  -0.05

space group	F-43m (216)
density of states at the Fermi level	0.798	states/eV per atom
crystal system	cubic
raw total energy	-7.561	eV/atom
magnetization	0.21	μB per cell

***

(8)
Er12CdFe6 | PBE | optimized geometry

Cell lengths 8.3080, 8.3080, 8.3080 Å; angles 109.47, 109.47, 109.47 degrees
Last column: magnetic moment on the atom in μB.
Atoms (fractional coordinates):
Er 0.7015 0.8967 0.1951  -0.16
Er 0.7015 0.5064 0.8049  -0.16
Er 0.8049 0.2985 0.1033  -0.16
Er 0.1951 0.2985 0.4936  -0.16
Er 0.1033 0.8049 0.2985  -0.16
Er 0.4936 0.1951 0.2985  -0.16
Er 0.1951 0.7015 0.8967  -0.16
Er 0.2985 0.4936 0.1951  -0.16
Er 0.5064 0.8049 0.7015  -0.16
Er 0.8967 0.1951 0.7015  -0.16
Er 0.2985 0.1033 0.8049  -0.16
Er 0.8049 0.7015 0.5064  -0.16
Fe 0.6106 0.5000 0.1106  1.30
Fe 0.3894 0.5000 0.8894  1.30
Fe 0.8894 0.3894 0.5000  1.30
Fe 0.1106 0.6106 0.5000  1.30
Fe 0.5000 0.1106 0.6106  1.30
Fe 0.5000 0.8894 0.3894  1.30
Cd 0.0000 0.0000 0.0000  -0.01

space group	Im-3 (204)
density of states at the Fermi level	1.080	states/eV per atom
crystal system	cubic
raw total energy	-5.672	eV/atom
magnetization	5.52	μB per cell

***

(9)
Y2SbAs | PBE | optimized geometry

Cell lengths 6.2065, 6.2065, 4.4732 Å; angles 89.99, 89.99, 38.15 degrees
Atoms (fractional coordinates):
Y 0.7408 0.7408 0.6252
Y 0.9975 0.9975 0.1248
Sb 0.2637 0.2637 0.1252
As 0.4979 0.4979 0.6249

formation energy from raw total energies	-1.130	eV/atom
space group	Amm2 (38)
density of states at the Fermi level	0.095	states/eV per atom
crystal system	orthorhombic
magnetization	0.00	μB per cell

***

(10)
Pm2Er5Tl | PBE | optimized geometry

Cell lengths 3.5340, 9.5435, 9.3456 Å; angles 120.70, 112.16, 90.00 degrees
Atoms (fractional coordinates):
Er 0.2573 0.6474 0.7577
Er 0.7427 0.8896 0.2423
Er 0.7427 0.3526 0.2423
Er 0.0000 0.5000 0.0000
Er 0.2573 0.1104 0.7577
Tl 0.0000 0.0000 0.0000
Pm 0.4578 0.7289 0.4578
Pm 0.5422 0.2711 0.5422

space group	C2/m (12)
density of states at the Fermi level	1.143	states/eV per atom
crystal system	monoclinic
raw total energy	-4.395	eV/atom
magnetization	0.00	μB per cell

***

(11)
CaS2N | PBE | optimized geometry

Cell lengths 7.9022, 7.9022, 7.9022 Å; angles 25.46, 25.46, 25.46 degrees
Last column: magnetic moment on the atom in μB.
Atoms (fractional coordinates):
N 0.5000 0.5000 0.5000  0.02
Ca 0.0000 0.0000 0.0000  0.07
S 0.8829 0.8829 0.8829  0.00
S 0.1171 0.1171 0.1171  0.00

formation energy from raw total energies	1.057	eV/atom
space group	R-3m (166)
density of states at the Fermi level	0.574	states/eV per atom
crystal system	trigonal
magnetization	0.30	μB per cell

***

(12)
Ba6As2SeN | PBE | optimized geometry

Cell lengths 7.6109, 8.5676, 11.2843 Å; angles 90.00, 90.74, 90.00 degrees
Last column: magnetic moment on the atom in μB.
Atoms (fractional coordinates):
Ba 0.1626 0.2086 0.0659  0.04
Ba 0.7037 0.3295 0.9316  0.03
Ba 0.6329 0.0471 0.2698  0.06
Ba 0.3671 0.9529 0.7302  0.06
Ba 0.2963 0.6705 0.0684  0.03
Ba 0.8374 0.7914 0.9341  0.04
Ba 0.1329 0.4529 0.7698  0.06
Ba 0.3374 0.7086 0.4341  0.04
Ba 0.8671 0.5471 0.2302  0.06
Ba 0.2037 0.1705 0.4316  0.03
Ba 0.6626 0.2914 0.5659  0.04
Ba 0.7963 0.8295 0.5684  0.03
As 0.9559 0.0965 0.7544  0.00
As 0.5441 0.5965 0.7456  0.00
As 0.4559 0.4035 0.2544  0.00
As 0.0441 0.9035 0.2456  0.00
Se 0.5000 0.0000 0.0000  0.00
Se 0.0000 0.5000 0.5000  0.00
N 0.5000 0.0000 0.5000  -0.01
N 0.0000 0.5000 0.0000  -0.01

formation energy from raw total energies	-1.016	eV/atom
space group	P2_1/c (14)
density of states at the Fermi level	0.313	states/eV per atom
crystal system	monoclinic
magnetization	1.86	μB per cell

***

Repeat the eighth record exactly.
Er12CdFe6 | PBE | optimized geometry

Cell lengths 8.3080, 8.3080, 8.3080 Å; angles 109.47, 109.47, 109.47 degrees
Last column: magnetic moment on the atom in μB.
Atoms (fractional coordinates):
Er 0.7015 0.8967 0.1951  -0.16
Er 0.7015 0.5064 0.8049  -0.16
Er 0.8049 0.2985 0.1033  -0.16
Er 0.1951 0.2985 0.4936  -0.16
Er 0.1033 0.8049 0.2985  -0.16
Er 0.4936 0.1951 0.2985  -0.16
Er 0.1951 0.7015 0.8967  -0.16
Er 0.2985 0.4936 0.1951  -0.16
Er 0.5064 0.8049 0.7015  -0.16
Er 0.8967 0.1951 0.7015  -0.16
Er 0.2985 0.1033 0.8049  -0.16
Er 0.8049 0.7015 0.5064  -0.16
Fe 0.6106 0.5000 0.1106  1.30
Fe 0.3894 0.5000 0.8894  1.30
Fe 0.8894 0.3894 0.5000  1.30
Fe 0.1106 0.6106 0.5000  1.30
Fe 0.5000 0.1106 0.6106  1.30
Fe 0.5000 0.8894 0.3894  1.30
Cd 0.0000 0.0000 0.0000  -0.01

space group	Im-3 (204)
density of states at the Fermi level	1.080	states/eV per atom
crystal system	cubic
raw total energy	-5.672	eV/atom
magnetization	5.52	μB per cell